# KMoPb2

A relaxed structure of KMoPb2 (PBE, Alexandria).

Cell lengths 3.240, 4.582, 8.718 Å; angles 90.00, 90.00, 90.00 degrees
Fractional coordinates of all 4 atoms:
K: 0.000 0.000 0.000
Mo: 0.500 0.500 0.399
Pb: 0.000 0.000 0.394
Pb: 0.500 0.500 0.712

Output
Energy of formation ... 0.5639 eV/atom
V ... 32.363 Å³/atom
Total magnetization ... 0.000 μB/atom